A plane-wave DFT calculation with PBE was carried out for a relaxed Ba2BeCrPt crystal.

Unit cell a=6.0121 b=4.2797 c=6.0121 alpha=90.00 beta=90.00 gamma=90.00
Last column: magnetic moment on the atom in μB.
Fractional coordinates of all 5 atoms:
Ba 0.0000 0.0000 0.5000  0.06
Ba 0.5000 0.0000 0.0000  0.05
Cr 0.0000 0.0000 0.0000  3.45
Be 0.0000 0.5000 0.0000  -0.05
Pt 0.5000 0.5000 0.5000  0.04

Values from the calculation:
- Size of the total moment: 3.75 μB/f.u.
- E_form: 0.644 eV per atom
- Space-group type: P4/mmm, No. 123


A plane-wave DFT calculation with PBE was carried out for a relaxed RbBa2BeCr crystal.

Unit cell a=5.8957 b=4.8706 c=5.8957 alpha=90.00 beta=90.00 gamma=90.00
Last column: magnetic moment on the atom in μB.
Fractional coordinates of all 5 atoms:
Cr 0.0000 0.0000 0.0000  0.05
Rb 0.5000 0.5000 0.5000  -0.03
Ba 0.5000 0.0000 0.0000  -0.06
Ba 0.0000 0.0000 0.5000  -0.04
Be 0.0000 0.5000 0.0000  0.00

Values from the calculation:
- Size of the total moment: 0.46 μB/f.u.
- E_form: 0.965 eV per atom
- Space-group type: P4/mmm, No. 123


A plane-wave DFT calculation with PBE was carried out for a relaxed Ba2BeCrSe crystal.

Unit cell a=6.0826 b=4.3200 c=6.0826 alpha=90.00 beta=90.00 gamma=90.00
Last column: magnetic moment on the atom in μB.
Fractional coordinates of all 5 atoms:
Se 0.5000 0.5000 0.5000  0.00
Ba 0.0000 0.0000 0.5000  0.06
Ba 0.5000 0.0000 0.0000  0.05
Cr 0.0000 0.0000 0.0000  3.41
Be 0.0000 0.5000 0.0000  -0.06

Values from the calculation:
- Size of the total moment: 3.69 μB/f.u.
- Formation energy without anion corrections: 0.13 eV per atom
- Space-group type: P4/mmm, No. 123


A plane-wave DFT calculation with PBE was carried out for a relaxed BaTa2BeCr crystal.

Unit cell a=4.4866 b=5.4684 c=4.4866 alpha=90.00 beta=90.00 gamma=90.00
Last column: magnetic moment on the atom in μB.
Fractional coordinates of all 5 atoms:
Cr 0.5000 0.5000 0.5000  0.04
Ba 0.0000 0.5000 0.0000  0.06
Ta 0.0000 0.0000 0.5000  0.10
Ta 0.5000 0.0000 0.0000  0.15
Be 0.0000 0.0000 0.0000  0.00

Values from the calculation:
- Size of the total moment: 0.52 μB/f.u.
- E_form: 1.678 eV per atom
- Space-group type: P4/mmm, No. 123


A plane-wave DFT calculation with PBE was carried out for a relaxed BaBeV2Cr crystal.

Unit cell a=4.5655 b=4.8199 c=4.5655 alpha=90.00 beta=90.00 gamma=90.00
Last column: magnetic moment on the atom in μB.
Fractional coordinates of all 5 atoms:
V 0.5000 0.0000 0.0000  1.74
V 0.0000 0.0000 0.5000  1.51
Be 0.0000 0.5000 0.0000  -0.04
Ba 0.5000 0.5000 0.5000  0.12
Cr 0.0000 0.0000 0.0000  -1.43

Values from the calculation:
- Size of the total moment: 2.42 μB/f.u.
- E_form: 0.878 eV per atom
- Space-group type: P4/mmm, No. 123


A plane-wave DFT calculation with PBE was carried out for a relaxed CsBa3Be crystal.

Unit cell a=6.6793 b=6.6793 c=6.6793 alpha=90.00 beta=90.00 gamma=90.00
Fractional coordinates of all 5 atoms:
Ba 0.0000 0.0000 0.5000
Ba 0.0000 0.5000 0.0000
Ba 0.5000 0.0000 0.0000
Cs 0.5000 0.5000 0.5000
Be 0.0000 0.0000 0.0000

Values from the calculation:
- Size of the total moment: 0.00 μB/f.u.
- E_form: 0.339 eV per atom
- Polymorph energy (0 for the lowest one): 0.0 meV per atom
- Space-group type: Pm-3m, No. 221


A plane-wave DFT calculation with PBE was carried out for a relaxed Cs3BaBe crystal.

Unit cell a=7.3285 b=7.3285 c=7.3285 alpha=90.00 beta=90.00 gamma=90.00
Fractional coordinates of all 5 atoms:
Be 0.0000 0.0000 0.0000
Cs 0.0000 0.0000 0.5000
Cs 0.0000 0.5000 0.0000
Cs 0.5000 0.0000 0.0000
Ba 0.5000 0.5000 0.5000

Values from the calculation:
- Size of the total moment: 0.00 μB/f.u.
- E_form: 0.634 eV per atom
- Space-group type: Pm-3m, No. 221


A plane-wave DFT calculation with PBE was carried out for a relaxed CsBa3Be crystal.

Unit cell a=6.4779 b=6.4779 c=6.4779 alpha=90.00 beta=90.00 gamma=90.00
Fractional coordinates of all 5 atoms:
Cs 0.0000 0.0000 0.0000
Ba 0.0000 0.5000 0.0000
Ba 0.5000 0.0000 0.0000
Ba 0.0000 0.0000 0.5000
Be 0.5000 0.5000 0.5000

Values from the calculation:
- Size of the total moment: 0.00 μB/f.u.
- E_form: 1.225 eV per atom
- Polymorph energy (0 for the lowest one): 885.9 meV per atom
- Space-group type: Pm-3m, No. 221


A plane-wave DFT calculation with PBE was carried out for a relaxed Cs2BaBeIn crystal.

Unit cell a=7.4049 b=6.8109 c=7.4049 alpha=90.00 beta=90.00 gamma=90.00
Fractional coordinates of all 5 atoms:
Be 0.5000 0.5000 0.5000
In 0.0000 0.0000 0.0000
Cs 0.0000 0.0000 0.5000
Cs 0.5000 0.0000 0.0000
Ba 0.0000 0.5000 0.0000

Values from the calculation:
- Size of the total moment: 0.00 μB/f.u.
- E_form: 0.740 eV per atom
- Space-group type: P4/mmm, No. 123


A plane-wave DFT calculation with PBE was carried out for a relaxed Cs2BaBe2O4 crystal.

Unit cell a=3.6528 b=7.4903 c=7.0641 alpha=111.99 beta=104.98 gamma=90.00
Fractional coordinates of all 9 atoms:
Ba 0.0000 0.0000 0.0000
Cs 0.8579 0.4179 0.7159
Cs 0.1421 0.5821 0.2841
O 0.5646 0.8070 0.1293
O 0.4354 0.1930 0.8707
O 0.7876 0.9075 0.5752
O 0.2124 0.0925 0.4248
Be 0.6826 0.9445 0.3652
Be 0.3174 0.0555 0.6348

Values from the calculation:
- Size of the total moment: 0.00 μB/f.u.
- Formation energy without anion corrections: -1.99 eV per atom
- Space-group type: C2/m, No. 12


A plane-wave DFT calculation with PBE was carried out for a relaxed CsBaBeO2 crystal.

Unit cell a=5.9769 b=8.2292 c=8.1430 alpha=119.08 beta=90.00 gamma=90.00
Fractional coordinates of all 10 atoms:
Be 0.0000 0.0000 0.5000
Be 0.0000 0.0000 0.0000
O 0.7747 0.9284 0.9644
O 0.2253 0.0716 0.0356
O 0.2253 0.9284 0.4644
O 0.7747 0.0716 0.5356
Ba 0.5008 0.0000 0.2500
Ba 0.4992 0.0000 0.7500
Cs 0.1643 0.5000 0.2500
Cs 0.8357 0.5000 0.7500

Values from the calculation:
- Size of the total moment: 0.00 μB/f.u.
- Formation energy without anion corrections: -1.89 eV per atom
- Space-group type: P2/c, No. 13


A plane-wave DFT calculation with PBE was carried out for a relaxed CsRb2BaBe crystal.

Unit cell a=7.6552 b=6.1386 c=7.6552 alpha=90.00 beta=90.00 gamma=90.00
Fractional coordinates of all 5 atoms:
Be 0.0000 0.5000 0.0000
Cs 0.0000 0.0000 0.0000
Rb 0.5000 0.0000 0.0000
Rb 0.0000 0.0000 0.5000
Ba 0.5000 0.5000 0.5000

Values from the calculation:
- Size of the total moment: 0.00 μB/f.u.
- E_form: 0.879 eV per atom
- Space-group type: P4/mmm, No. 123


A plane-wave DFT calculation with PBE was carried out for a relaxed CsBaBeRh2 crystal.

Unit cell a=5.1539 b=5.5243 c=5.1539 alpha=90.00 beta=90.00 gamma=90.00
Fractional coordinates of all 5 atoms:
Cs 0.0000 0.0000 0.0000
Rh 0.0000 0.0000 0.5000
Rh 0.5000 0.0000 0.0000
Be 0.0000 0.5000 0.0000
Ba 0.5000 0.5000 0.5000

Values from the calculation:
- Size of the total moment: 0.00 μB/f.u.
- E_form: 1.418 eV per atom
- Space-group type: P4/mmm, No. 123


A plane-wave DFT calculation with PBE was carried out for a relaxed CsBaBeSe2 crystal.

Unit cell a=5.0277 b=8.4085 c=9.4969 alpha=102.11 beta=90.00 gamma=90.00
Fractional coordinates of all 10 atoms:
Cs 0.2436 0.5000 0.7500
Cs 0.7564 0.5000 0.2500
Be 0.0000 0.0000 0.0000
Be 0.0000 0.0000 0.5000
Se 0.7833 0.7861 0.9669
Se 0.2167 0.7861 0.4669
Se 0.2167 0.2139 0.0331
Se 0.7833 0.2139 0.5331
Ba 0.5191 0.0000 0.7500
Ba 0.4809 0.0000 0.2500

Values from the calculation:
- Size of the total moment: 0.22 μB/f.u.
- Formation energy without anion corrections: -0.94 eV per atom
- Space-group type: P2/c, No. 13


A plane-wave DFT calculation with PBE was carried out for a relaxed Cs2BaTiBe crystal.

Unit cell a=7.0452 b=5.0979 c=7.0452 alpha=90.00 beta=90.00 gamma=90.00
Last column: magnetic moment on the atom in μB.
Fractional coordinates of all 5 atoms:
Ba 0.5000 0.5000 0.5000  0.01
Be 0.0000 0.0000 0.0000  0.13
Cs 0.5000 0.0000 0.0000  0.02
Cs 0.0000 0.0000 0.5000  0.03
Ti 0.0000 0.5000 0.0000  1.82

Values from the calculation:
- Size of the total moment: 3.16 μB/f.u.
- E_form: 1.041 eV per atom
- Space-group type: P4/mmm, No. 123


A plane-wave DFT calculation with PBE was carried out for a relaxed Ba2BeCu crystal.

Unit cell a=3.5966 b=3.5966 c=9.2657 alpha=90.00 beta=90.00 gamma=90.00
Fractional coordinates of all 4 atoms:
Ba 0.5000 0.5000 0.3378
Ba 0.0000 0.0000 0.9147
Cu 0.5000 0.5000 0.6666
Be 0.0000 0.0000 0.5810

Values from the calculation:
- Size of the total moment: 0.00 μB/f.u.
- E_form: 0.401 eV per atom
- Space-group type: P4mm, No. 99


A plane-wave DFT calculation with PBE was carried out for a relaxed Ba2Be2Cu crystal.

Unit cell a=6.1971 b=6.1971 c=5.6044 alpha=56.44 beta=56.44 gamma=90.00
Fractional coordinates of all 5 atoms:
Be 0.6471 0.6471 0.7059
Be 0.3529 0.3529 0.2941
Ba 0.2500 0.7500 0.5000
Ba 0.7500 0.2500 0.5000
Cu 0.0000 0.0000 0.0000

Values from the calculation:
- Size of the total moment: 0.00 μB/f.u.
- E_form: 0.494 eV per atom
- Polymorph energy (0 for the lowest one): 0.0 meV per atom
- Space-group type: I4/mmm, No. 139


A plane-wave DFT calculation with PBE was carried out for a relaxed BaBeCu crystal.

Unit cell a=4.1949 b=4.1949 c=9.0799 alpha=90.00 beta=90.00 gamma=90.00
Fractional coordinates of all 6 atoms:
Ba 0.5000 0.0000 0.2142
Ba 0.0000 0.5000 0.7858
Cu 0.0000 0.5000 0.4108
Cu 0.5000 0.0000 0.5892
Be 0.5000 0.5000 0.5000
Be 0.0000 0.0000 0.5000

Values from the calculation:
- Size of the total moment: 0.18 μB/f.u.
- E_form: 0.139 eV per atom
- Polymorph energy (0 for the lowest one): 0.0 meV per atom
- Space-group type: P4/nmm, No. 129


A plane-wave DFT calculation with PBE was carried out for a relaxed BaBe4Cu crystal.

Unit cell a=5.0206 b=5.0206 c=5.0206 alpha=60.00 beta=60.00 gamma=60.00
Fractional coordinates of all 6 atoms:
Be 0.3868 0.3868 0.8396
Be 0.3868 0.3868 0.3868
Be 0.3868 0.8396 0.3868
Be 0.8396 0.3868 0.3868
Cu 0.7500 0.7500 0.7500
Ba 0.0000 0.0000 0.0000

Values from the calculation:
- Size of the total moment: 0.00 μB/f.u.
- E_form: 0.630 eV per atom
- Space-group type: F-43m, No. 216


A plane-wave DFT calculation with PBE was carried out for a relaxed BaBeCu crystal.

Unit cell a=4.9110 b=4.9110 c=4.9110 alpha=60.00 beta=60.00 gamma=60.00
Fractional coordinates of all 3 atoms:
Ba 0.0000 0.0000 0.0000
Cu 0.7500 0.7500 0.7500
Be 0.5000 0.5000 0.5000

Values from the calculation:
- Size of the total moment: 0.00 μB/f.u.
- E_form: 0.665 eV per atom
- Polymorph energy (0 for the lowest one): 526.3 meV per atom
- Space-group type: F-43m, No. 216